# BaSrHg17 (GGA-PBE, relaxed)
data_BaSrHg17
_space_group_name_H-M_alt 'R 3 m'
_space_group_IT_number 160
_space_group_name_Hall 'R 3 -2"'
_cell_length_a 10.0790
_cell_length_b 10.0790
_cell_length_c 18.6800
_cell_angle_alpha 90.00
_cell_angle_beta 90.00
_cell_angle_gamma 120.00
loop_
_atom_site_label
_atom_site_fract_x
_atom_site_fract_y
_atom_site_fract_z
_atom_site_occupancy
Ba1 0.0000 0.0000 0.0000 1
Sr1 0.0000 0.0000 0.5835 1
Hg1 0.0000 0.0000 0.1941 1
Hg2 0.0000 0.0000 0.3894 1
Hg3 0.9997 0.4999 0.7907 1
Hg4 0.0012 0.2948 0.2931 1
Hg5 0.0834 0.5417 0.4098 1
Hg6 0.1880 0.3759 0.5069 1
# Formation energy from the elements in meV/atom: -179
# Crystal system: trigonal